# 1
Here is a geometry-optimized AgSb2ICl structure from Alexandria via LeMat-Bulk. Energies are from PBE.

E above lowest polymorph	275	meV per atom
spin magnetization	0.000	μB per atom
symmetry	P4/mmm, No. 123

abc: 5.1087 5.1087 7.2666
angles: 90.00 90.00 90.00
Element x y z (fractional)
Sb1 0.0000 0.5000 0.0000
Sb2 0.5000 0.0000 0.0000
Cl1 0.0000 0.0000 0.0000
Ag1 0.5000 0.5000 0.5000
I1 0.0000 0.0000 0.5000


# 2
Here is a geometry-optimized Ag3SbI2Cl6 structure from Alexandria via LeMat-Bulk. Energies are from PBE.

spin magnetization	0.000	μB per atom
symmetry	C2/m, No. 12

abc: 6.4650 7.9855 8.7920
angles: 117.01 104.37 90.00
Element x y z (fractional)
Cl1 0.2712 0.1307 0.8293
Cl2 0.7288 0.3013 0.1707
Cl3 0.7288 0.8693 0.1707
Cl4 0.2712 0.6987 0.8293
Cl5 0.7184 0.8957 0.7913
Cl6 0.2816 0.1043 0.2087
Ag1 0.5000 0.5000 0.5000
Ag2 0.0000 0.5000 0.0000
Ag3 0.5000 0.0000 0.5000
I1 0.2102 0.6770 0.3539
I2 0.7898 0.3230 0.6461
Sb1 0.5000 0.0000 0.0000


| no. | ΔE_f (raw) (meV per atom) |
| --- | --- |
| 1 | 735 |
| 2 | -469 |